[1]
A relaxed Tm2Ni12P3Pt crystal, computed with GGA-PBE.

Cell and atoms, written as extended XYZ:
```
18
Lattice="5.9965 -1.4263 -1.0116 1.7212 5.9186 -1.0116 1.7212 1.0019 5.9203" Properties=species:S:1:pos:R:3 pbc="T T T"
Ni 6.8083 3.9630 0.2325
Ni 4.7466 0.3294 0.2337
P 0.8606 0.5009 2.9601
Ni 4.8641 0.5099 2.8214
Ni 2.6306 1.5312 3.6645
Tm 6.7103 3.9060 2.7705
Ni 2.8455 3.9778 2.8214
P 2.9983 -0.7131 -0.5058
Ni 4.5747 4.9843 1.0756
P 0.8606 2.9593 -0.5058
Ni 2.6306 3.9647 0.2337
Ni 4.6923 5.1648 3.6633
Pt 0.0000 0.0000 0.0000
Ni 4.5747 2.6629 4.3485
Ni 6.8083 1.5295 3.6633
Ni 6.5934 1.5164 1.0756
Tm 2.7286 1.5883 1.1265
Ni 4.8641 2.8313 -0.4515
```

Properties
**Total magnetization**: 0.000 μB per atom
**DFT formation energy**: -11.2 kJ/mol of atoms
**E**: -102.67 eV/f.u.
**N(E_F)**: 24.11 states/eV per cell

[2]
A relaxed Tm3Ni9P2Pt crystal, computed with GGA-PBE.

Cell and atoms, written as extended XYZ:
```
15
Lattice="-5.0795 1.2211 -0.0360 1.8466 -3.3906 3.5196 1.7814 7.5985 6.3853" Properties=species:S:1:pos:R:3 pbc="T T T"
Ni -1.3776 0.2359 4.8274
Tm 0.5808 2.5952 6.0727
Ni -1.6165 -1.0847 1.7418
Ni -1.7587 4.0626 6.8569
Tm -2.0323 2.8339 3.7962
Ni -0.0739 5.1931 5.0415
Ni -2.5397 0.6106 -0.0180
Ni 0.3071 1.3665 3.0120
Pt 0.8907 3.7992 3.1927
P -1.2642 6.1104 6.5496
Ni 0.9233 -1.6953 1.7598
P -0.1873 -0.6814 3.3193
Ni 1.2694 -0.4005 4.8462
Ni -2.7210 5.8295 5.0227
Tm 0.0000 0.0000 0.0000
```

Properties
**Total magnetization**: 0.000 μB per atom
**DFT formation energy**: -43.5 kJ/mol of atoms
**E**: -89.07 eV/f.u.
**N(E_F)**: 9.23 states/eV per cell

[3]
A relaxed U2Ni3P4Pt crystal, computed with GGA-PBE.

Cell and atoms, written as extended XYZ:
```
10
Lattice="-0.5723 -3.9608 0.6835 -0.6121 -0.5964 -3.9689 8.9283 -1.4891 -1.1531" Properties=species:S:1:pos:R:3 pbc="T T T"
P 2.8571 -0.8258 -2.3930
U 1.8355 -2.3342 0.0677
U 6.5006 -1.4334 -2.8636
P -0.5922 -2.2786 -1.6427
Pt 3.8719 -3.0231 -2.2193
P 5.4789 -2.9419 -0.4029
Ni 0.6775 -0.4623 -2.1115
Ni 7.6585 -3.3054 -0.6844
Ni 4.4641 -0.7445 -0.5766
P 0.0000 0.0000 0.0000
```

Properties
**Total magnetization**: 0.429 μB per atom
**DFT formation energy**: -70.5 kJ/mol of atoms
**E**: -74.90 eV/f.u.
**N(E_F)**: 15.54 states/eV per cell

[4]
A relaxed Y2Ni3P4Pt crystal, computed with GGA-PBE.

Cell and atoms, written as extended XYZ:
```
10
Lattice="4.0638 0.0000 0.0000 0.0000 4.0638 0.0000 0.0000 0.0000 9.1723" Properties=species:S:1:pos:R:3 pbc="T T T"
Pt 2.0319 2.0319 4.5862
Y 2.0319 0.0000 2.2015
P 2.0319 0.0000 5.8801
P 0.0000 0.0000 0.0000
Y 0.0000 2.0319 6.9708
Ni 0.0000 0.0000 4.5862
P 0.0000 2.0319 3.2922
Ni 2.0319 0.0000 8.1336
P 2.0319 2.0319 0.0000
Ni 0.0000 2.0319 1.0387
```

Properties
**Total magnetization**: 0.000 μB per atom
**DFT formation energy**: -93.5 kJ/mol of atoms
**E**: -67.64 eV/f.u.
**N(E_F)**: 2.93 states/eV per cell

[5]
A relaxed Y2NiP3Pt4 crystal, computed with GGA-PBE.

Cell and atoms, written as extended XYZ:
```
10
Lattice="-2.6189 2.2800 2.3454 -2.8383 -0.0907 -3.0812 -3.7759 -8.1624 3.7185" Properties=species:S:1:pos:R:3 pbc="T T T"
P -4.5755 -5.9202 4.3891
Pt 0.0000 0.0000 0.0000
Ni -4.6166 -2.9866 1.4914
P -1.8880 -4.0812 1.8593
Y -4.2384 -6.1398 1.2359
Y -2.2661 -0.9280 2.1148
P -1.9291 -1.1476 -1.0384
Pt -2.8215 -3.0767 -0.1596
Pt -2.7286 1.0947 -0.3679
Pt -3.6831 -3.9911 3.5103
```

Properties
**Total magnetization**: 0.000 μB per atom
**DFT formation energy**: -83.9 kJ/mol of atoms
**E**: -67.80 eV/f.u.
**N(E_F)**: 6.39 states/eV per cell

[6]
A relaxed PuNiP2 crystal, computed with GGA-PBE.

Cell and atoms, written as extended XYZ:
```
4
Lattice="2.9345 0.0000 0.0000 1.4672 2.5413 0.0000 1.4672 0.8471 8.8138" Properties=species:S:1:pos:R:3 pbc="T T T"
Ni 2.9345 1.6942 4.4069
Pu 0.0000 0.0000 0.0000
P 4.4017 2.5413 2.8168
P 1.4672 0.8471 5.9969
```

Properties
**Total magnetization**: 1.203 μB per atom
**DFT formation energy**: 4.3 kJ/mol of atoms
**E**: -30.75 eV/f.u.
**N(E_F)**: 6.30 states/eV per cell

- The lowest E belongs to which entry?
  Tm2Ni12P3Pt